Entry 1:
First-principles (GGA-PBE) data for crystalline Zr6Pb3N at its relaxed geometry, as listed in Alexandria.

Calculated values
theoretical density	8.70	g cm⁻³
crystal system	orthorhombic
uncorrected formation energy	-0.343	eV per atom
uncorrected energy	-148.348	eV/cell

a = 9.470 Å, b = 9.470 Å, c = 5.557 Å
α = 90.00°, β = 90.00°, γ = 115.03°
Fractional coordinates of all 20 atoms:
Zr 0.074 0.578 0.660
Zr 0.078 0.922 0.500
Zr 0.251 0.411 0.034
Zr 0.256 0.744 0.148
Zr 0.411 0.251 0.534
Zr 0.422 0.926 0.660
Zr 0.578 0.074 0.160
Zr 0.589 0.749 0.034
Zr 0.744 0.256 0.648
Zr 0.749 0.589 0.534
Zr 0.922 0.078 0.000
Zr 0.926 0.422 0.160
Pb 0.076 0.256 0.513
Pb 0.256 0.076 0.013
Pb 0.415 0.585 0.533
Pb 0.585 0.415 0.033
Pb 0.744 0.924 0.513
Pb 0.924 0.744 0.013
N 0.208 0.792 0.499
N 0.792 0.208 0.999

Entry 2:
First-principles (GGA-PBE) data for crystalline Zr2Pb2N at its relaxed geometry, as listed in Alexandria.

Calculated values
theoretical density	8.16	g cm⁻³
crystal system	tetragonal
uncorrected formation energy	1.231	eV per atom
uncorrected energy	-26.684	eV/cell
energy relative to the lowest polymorph listed for this composition	0.464	eV/atom

a = 8.643 Å, b = 8.643 Å, c = 8.643 Å
α = 153.95°, β = 153.95°, γ = 37.18°
Fractional coordinates of all 5 atoms:
Zr 0.250 0.750 0.500
Zr 0.750 0.250 0.500
Pb 0.088 0.088 0.000
Pb 0.912 0.912 0.000
N 0.500 0.500 0.000

Entry 3:
First-principles (GGA-PBE) data for crystalline Zr2PbN at its relaxed geometry, as listed in Alexandria.

Calculated values
theoretical density	8.10	g cm⁻³
crystal system	tetragonal
uncorrected formation energy	-0.631	eV per atom
uncorrected energy	-63.310	eV/cell

a = 5.999 Å, b = 5.999 Å, c = 5.999 Å
α = 111.57°, β = 111.57°, γ = 105.36°
Fractional coordinates of all 8 atoms:
Zr 0.012 0.125 0.387
Zr 0.375 0.988 0.113
Zr 0.738 0.625 0.613
Zr 0.875 0.262 0.887
Pb 0.250 0.750 0.500
Pb 0.500 0.500 0.000
N 0.000 0.000 0.000
N 0.750 0.250 0.500

Entry 4:
First-principles (GGA-PBE) data for crystalline ZrPb3N at its relaxed geometry, as listed in Alexandria.

Calculated values
theoretical density	6.47	g cm⁻³
crystal system	cubic
uncorrected formation energy	1.307	eV per atom
uncorrected energy	-21.463	eV/cell
energy relative to the lowest polymorph listed for this composition	0.633	eV/atom

a = 5.714 Å, b = 5.714 Å, c = 5.714 Å
α = 90.00°, β = 90.00°, γ = 90.00°
Fractional coordinates of all 5 atoms:
Zr 0.000 0.000 0.000
Pb 0.000 0.000 0.500
Pb 0.000 0.500 0.000
Pb 0.500 0.000 0.000
N 0.500 0.500 0.500

Entry 5:
First-principles (GGA-PBE) data for crystalline ZrPbN2 at its relaxed geometry, as listed in Alexandria.

Calculated values
theoretical density	7.10	g cm⁻³
crystal system	tetragonal
uncorrected formation energy	-0.471	eV per atom
uncorrected energy	-61.582	eV/cell

a = 6.303 Å, b = 6.303 Å, c = 6.303 Å
α = 127.53°, β = 127.53°, γ = 77.39°
Fractional coordinates of all 8 atoms:
Zr 0.000 0.000 0.000
Zr 0.750 0.250 0.500
Pb 0.250 0.750 0.500
Pb 0.500 0.500 0.000
N 0.049 0.625 0.924
N 0.375 0.299 0.424
N 0.701 0.125 0.076
N 0.875 0.951 0.576

Entry 6:
First-principles (GGA-PBE) data for crystalline ZrPbN3 at its relaxed geometry, as listed in Alexandria.

Calculated values
theoretical density	7.98	g cm⁻³
crystal system	cubic
uncorrected formation energy	1.414	eV per atom
uncorrected energy	-30.162	eV/cell

a = 4.138 Å, b = 4.138 Å, c = 4.138 Å
α = 90.00°, β = 90.00°, γ = 90.00°
Fractional coordinates of all 5 atoms:
Zr 0.000 0.000 0.000
Pb 0.500 0.500 0.500
N 0.000 0.500 0.500
N 0.500 0.000 0.500
N 0.500 0.500 0.000

Entry 7:
First-principles (GGA-PBE) data for crystalline Zr6Pb2N at its relaxed geometry, as listed in Alexandria.

Calculated values
theoretical density	8.27	g cm⁻³
crystal system	monoclinic
uncorrected formation energy	-0.401	eV per atom
uncorrected energy	-141.278	eV/cell
energy relative to the lowest polymorph listed for this composition	0.078	eV/atom

a = 6.018 Å, b = 6.971 Å, c = 10.957 Å
α = 90.00°, β = 121.51°, γ = 90.00°
Fractional coordinates of all 18 atoms:
Zr 0.136 0.009 0.246
Zr 0.136 0.491 0.746
Zr 0.180 0.710 0.029
Zr 0.180 0.790 0.529
Zr 0.360 0.177 0.024
Zr 0.360 0.323 0.524
Zr 0.640 0.677 0.476
Zr 0.640 0.823 0.976
Zr 0.820 0.210 0.471
Zr 0.820 0.290 0.971
Zr 0.864 0.509 0.254
Zr 0.864 0.991 0.754
Pb 0.332 0.097 0.745
Pb 0.332 0.403 0.245
Pb 0.668 0.597 0.755
Pb 0.668 0.903 0.255
N 0.000 0.000 0.000
N 0.000 0.500 0.500

Entry 8:
First-principles (GGA-PBE) data for crystalline Zr2PbN at its relaxed geometry, as listed in Alexandria.

Calculated values
theoretical density	9.13	g cm⁻³
crystal system	trigonal
uncorrected formation energy	-0.928	eV per atom
uncorrected energy	-32.841	eV/cell

a = 7.759 Å, b = 7.759 Å, c = 7.759 Å
α = 25.00°, β = 25.00°, γ = 25.00°
Fractional coordinates of all 4 atoms:
Zr 0.221 0.221 0.221
Zr 0.779 0.779 0.779
Pb 0.000 0.000 0.000
N 0.500 0.500 0.500

Entry 9:
First-principles (GGA-PBE) data for crystalline ZrPb3N at its relaxed geometry, as listed in Alexandria.

Calculated values
theoretical density	10.17	g cm⁻³
crystal system	cubic
uncorrected formation energy	0.674	eV per atom
uncorrected energy	-24.629	eV/cell
energy relative to the lowest polymorph listed for this composition	0.000	eV/atom

a = 4.914 Å, b = 4.914 Å, c = 4.914 Å
α = 90.00°, β = 90.00°, γ = 90.00°
Fractional coordinates of all 5 atoms:
Zr 0.000 0.000 0.000
Pb 0.000 0.500 0.500
Pb 0.500 0.000 0.500
Pb 0.500 0.500 0.000
N 0.500 0.500 0.500

Entry 10:
First-principles (GGA-PBE) data for crystalline Zr2Pb2N at its relaxed geometry, as listed in Alexandria.

Calculated values
theoretical density	9.21	g cm⁻³
crystal system	tetragonal
uncorrected formation energy	0.767	eV per atom
uncorrected energy	-58.006	eV/cell
energy relative to the lowest polymorph listed for this composition	0.000	eV/atom

a = 6.720 Å, b = 6.720 Å, c = 4.879 Å
α = 90.00°, β = 90.00°, γ = 90.00°
Fractional coordinates of all 10 atoms:
Zr 0.158 0.342 0.000
Zr 0.342 0.842 0.000
Zr 0.658 0.158 0.000
Zr 0.842 0.658 0.000
Pb 0.163 0.663 0.500
Pb 0.337 0.163 0.500
Pb 0.663 0.837 0.500
Pb 0.837 0.337 0.500
N 0.000 0.000 0.500
N 0.500 0.500 0.500

Entry 11:
First-principles (GGA-PBE) data for crystalline ZrPb2N at its relaxed geometry, as listed in Alexandria.

Calculated values
theoretical density	10.07	g cm⁻³
crystal system	tetragonal
uncorrected formation energy	0.629	eV per atom
uncorrected energy	-43.551	eV/cell

a = 6.086 Å, b = 6.086 Å, c = 6.086 Å
α = 105.90°, β = 105.90°, γ = 116.87°
Fractional coordinates of all 8 atoms:
Zr 0.000 0.000 0.000
Zr 0.750 0.250 0.500
Pb 0.196 0.625 0.071
Pb 0.375 0.446 0.571
Pb 0.554 0.125 0.929
Pb 0.875 0.804 0.429
N 0.250 0.750 0.500
N 0.500 0.500 0.000

Entry 12:
First-principles (GGA-PBE) data for crystalline Zr4Pb2N at its relaxed geometry, as listed in Alexandria.

Calculated values
theoretical density	8.68	g cm⁻³
crystal system	tetragonal
uncorrected formation energy	-0.588	eV per atom
uncorrected energy	-54.054	eV/cell

a = 8.337 Å, b = 8.337 Å, c = 8.337 Å
α = 149.16°, β = 149.16°, γ = 44.17°
Fractional coordinates of all 7 atoms:
Zr 0.000 0.500 0.500
Zr 0.151 0.151 0.000
Zr 0.500 0.000 0.500
Zr 0.849 0.849 0.000
Pb 0.349 0.349 0.000
Pb 0.651 0.651 0.000
N 0.000 0.000 0.000

Entry 13:
First-principles (GGA-PBE) data for crystalline ZrPbN3 at its relaxed geometry, as listed in Alexandria.

Calculated values
theoretical density	7.12	g cm⁻³
crystal system	cubic
uncorrected formation energy	0.446	eV per atom
uncorrected energy	-35.001	eV/cell

a = 4.297 Å, b = 4.297 Å, c = 4.297 Å
α = 90.00°, β = 90.00°, γ = 90.00°
Fractional coordinates of all 5 atoms:
Zr 0.000 0.000 0.000
Pb 0.500 0.500 0.500
N 0.000 0.000 0.500
N 0.000 0.500 0.000
N 0.500 0.000 0.000

Entry 14:
First-principles (GGA-PBE) data for crystalline Zr2PbN at its relaxed geometry, as listed in Alexandria.

Calculated values
theoretical density	8.80	g cm⁻³
crystal system	cubic
uncorrected formation energy	0.530	eV per atom
uncorrected energy	-27.009	eV/cell

a = 4.758 Å, b = 4.758 Å, c = 4.758 Å
α = 60.00°, β = 60.00°, γ = 60.00°
Fractional coordinates of all 4 atoms:
Zr 0.250 0.250 0.250
Zr 0.750 0.750 0.750
Pb 0.000 0.000 0.000
N 0.500 0.500 0.500

Entry 15:
First-principles (GGA-PBE) data for crystalline Zr6Pb2N at its relaxed geometry, as listed in Alexandria.

Calculated values
theoretical density	8.63	g cm⁻³
crystal system	tetragonal
uncorrected formation energy	-0.479	eV per atom
uncorrected energy	-142.679	eV/cell
energy relative to the lowest polymorph listed for this composition	0.000	eV/atom

a = 6.252 Å, b = 6.252 Å, c = 9.607 Å
α = 90.00°, β = 90.00°, γ = 90.00°
Fractional coordinates of all 18 atoms:
Zr 0.000 0.000 0.247
Zr 0.000 0.000 0.753
Zr 0.222 0.269 0.500
Zr 0.231 0.278 0.000
Zr 0.269 0.778 0.500
Zr 0.278 0.769 0.000
Zr 0.500 0.500 0.253
Zr 0.500 0.500 0.747
Zr 0.722 0.231 0.000
Zr 0.731 0.222 0.500
Zr 0.769 0.722 0.000
Zr 0.778 0.731 0.500
Pb 0.000 0.500 0.250
Pb 0.000 0.500 0.750
Pb 0.500 0.000 0.250
Pb 0.500 0.000 0.750
N 0.000 0.000 0.000
N 0.500 0.500 0.500

Entry 16:
First-principles (GGA-PBE) data for crystalline ZrPbN2 at its relaxed geometry, as listed in Alexandria.

Calculated values
theoretical density	8.01	g cm⁻³
crystal system	tetragonal
uncorrected formation energy	-0.619	eV per atom
uncorrected energy	-62.763	eV/cell

a = 4.079 Å, b = 4.079 Å, c = 8.139 Å
α = 90.00°, β = 90.00°, γ = 90.00°
Fractional coordinates of all 8 atoms:
Zr 0.250 0.250 0.098
Zr 0.750 0.750 0.902
Pb 0.250 0.250 0.635
Pb 0.750 0.750 0.365
N 0.250 0.250 0.353
N 0.250 0.750 0.000
N 0.750 0.250 0.000
N 0.750 0.750 0.647

Entry 17:
First-principles (GGA-PBE) data for crystalline PdN at its relaxed geometry, as listed in Alexandria.

Calculated values
theoretical density	7.17	g cm⁻³
crystal system	tetragonal
uncorrected formation energy	1.055	eV per atom
uncorrected energy	-45.637	eV/cell
energy relative to the lowest polymorph listed for this composition	0.733	eV/atom

a = 6.116 Å, b = 6.116 Å, c = 2.982 Å
α = 90.00°, β = 90.00°, γ = 90.00°
Fractional coordinates of all 8 atoms:
Pd 0.151 0.151 0.000
Pd 0.349 0.651 0.500
Pd 0.651 0.349 0.500
Pd 0.849 0.849 0.000
N 0.189 0.811 0.000
N 0.311 0.311 0.500
N 0.689 0.689 0.500
N 0.811 0.189 0.000

Entry 18:
First-principles (GGA-PBE) data for crystalline PdN at its relaxed geometry, as listed in Alexandria.

Calculated values
theoretical density	8.38	g cm⁻³
crystal system	orthorhombic
uncorrected formation energy	1.133	eV per atom
uncorrected energy	-22.506	eV/cell
energy relative to the lowest polymorph listed for this composition	0.812	eV/atom

a = 3.953 Å, b = 3.953 Å, c = 4.271 Å
α = 90.00°, β = 90.00°, γ = 134.33°
Fractional coordinates of all 4 atoms:
Pd 0.112 0.888 0.750
Pd 0.888 0.112 0.250
N 0.173 0.827 0.250
N 0.827 0.173 0.750

Entry 19:
First-principles (GGA-PBE) data for crystalline PdN at its relaxed geometry, as listed in Alexandria.

Calculated values
theoretical density	6.18	g cm⁻³
crystal system	orthorhombic
uncorrected formation energy	1.141	eV per atom
uncorrected energy	-44.943	eV/cell
energy relative to the lowest polymorph listed for this composition	0.820	eV/atom

a = 7.484 Å, b = 5.997 Å, c = 5.550 Å
α = 80.70°, β = 52.26°, γ = 47.04°
Fractional coordinates of all 8 atoms:
Pd 0.026 0.026 0.724
Pd 0.276 0.276 0.974
Pd 0.724 0.724 0.026
Pd 0.974 0.974 0.276
N 0.009 0.741 0.009
N 0.259 0.991 0.259
N 0.741 0.009 0.741
N 0.991 0.259 0.991

Entry 20:
First-principles (GGA-PBE) data for crystalline PdN at its relaxed geometry, as listed in Alexandria.

Calculated values
theoretical density	8.40	g cm⁻³
crystal system	orthorhombic
uncorrected formation energy	1.024	eV per atom
uncorrected energy	-68.823	eV/cell
energy relative to the lowest polymorph listed for this composition	0.703	eV/atom

a = 9.538 Å, b = 3.002 Å, c = 4.989 Å
α = 90.00°, β = 90.00°, γ = 90.00°
Fractional coordinates of all 12 atoms:
Pd 0.000 0.188 0.000
Pd 0.157 0.274 0.505
Pd 0.343 0.726 0.005
Pd 0.500 0.812 0.500
Pd 0.657 0.726 0.005
Pd 0.843 0.274 0.505
N 0.000 0.796 0.620
N 0.209 0.225 0.922
N 0.291 0.775 0.422
N 0.500 0.204 0.120
N 0.709 0.775 0.422
N 0.791 0.225 0.922

Entry 21:
First-principles (GGA-PBE) data for crystalline PdN at its relaxed geometry, as listed in Alexandria.

Calculated values
theoretical density	8.19	g cm⁻³
crystal system	orthorhombic
uncorrected formation energy	1.081	eV per atom
uncorrected energy	-90.853	eV/cell
energy relative to the lowest polymorph listed for this composition	0.760	eV/atom

a = 4.951 Å, b = 5.404 Å, c = 7.301 Å
α = 90.00°, β = 90.00°, γ = 90.00°
Fractional coordinates of all 16 atoms:
Pd 0.236 0.026 0.227
Pd 0.241 0.502 0.569
Pd 0.259 0.498 0.069
Pd 0.264 0.974 0.727
Pd 0.736 0.474 0.773
Pd 0.741 0.998 0.431
Pd 0.759 0.002 0.931
Pd 0.764 0.526 0.273
N 0.148 0.869 0.972
N 0.151 0.656 0.316
N 0.349 0.344 0.816
N 0.352 0.131 0.472
N 0.648 0.631 0.028
N 0.651 0.844 0.684
N 0.849 0.156 0.184
N 0.852 0.369 0.528

Entry 22:
First-principles (GGA-PBE) data for crystalline PdN at its relaxed geometry, as listed in Alexandria.

Calculated values
theoretical density	6.08	g cm⁻³
crystal system	cubic
uncorrected formation energy	1.200	eV per atom
uncorrected energy	-66.707	eV/cell
energy relative to the lowest polymorph listed for this composition	0.879	eV/atom

a = 5.823 Å, b = 5.823 Å, c = 5.823 Å
α = 90.00°, β = 90.00°, γ = 90.00°
Fractional coordinates of all 12 atoms:
Pd 0.000 0.250 0.500
Pd 0.000 0.750 0.500
Pd 0.250 0.500 0.000
Pd 0.500 0.000 0.250
Pd 0.500 0.000 0.750
Pd 0.750 0.500 0.000
N 0.000 0.500 0.250
N 0.000 0.500 0.750
N 0.250 0.000 0.500
N 0.500 0.250 0.000
N 0.500 0.750 0.000
N 0.750 0.000 0.500

Entry 23:
First-principles (GGA-PBE) data for crystalline PdN at its relaxed geometry, as listed in Alexandria.

Calculated values
theoretical density	8.09	g cm⁻³
crystal system	tetragonal
uncorrected formation energy	1.206	eV per atom
uncorrected energy	-11.106	eV/cell
energy relative to the lowest polymorph listed for this composition	0.885	eV/atom

a = 2.931 Å, b = 2.931 Å, c = 2.879 Å
α = 90.00°, β = 90.00°, γ = 90.00°
Fractional coordinates of all 2 atoms:
Pd 0.000 0.000 0.000
N 0.500 0.500 0.000